Entry 1:
# InTeC2 GGA-PBE relaxed
data_InTeC2
_chemical_formula_sum 'In4 Te4 C8'
_space_group_name_H-M_alt 'I -4 2 d'
_space_group_IT_number 122
_space_group_name_Hall 'I -4 2bw'
_cell_length_a 5.1596
_cell_length_b 5.1596
_cell_length_c 10.6728
_cell_angle_alpha 90.00
_cell_angle_beta 90.00
_cell_angle_gamma 90.00
loop_
_atom_site_label
_atom_site_fract_x
_atom_site_fract_y
_atom_site_fract_z
In1 0.0000 0.0000 0.0000
Te1 0.0000 0.0000 0.5000
C1 0.2399 0.2500 0.6250
# Total magnetization in μB per atom: 0.000
# Fermi-level density of states in states/eV/cell: 11.20
# Calculated density in g cm⁻³: 6.23
# ΔE_f (raw) in eV per atom: 1.454
# Energy above the most stable polymorph in this dataset in eV per formula unit: 0.00

***

Entry 2:
# CaTb2S3 GGA-PBE relaxed
data_CaTb2S3
_chemical_formula_sum 'Ca2 Tb4 S6'
_space_group_name_H-M_alt 'I m m m'
_space_group_IT_number 71
_space_group_name_Hall '-I 2 2'
_cell_length_a 3.9316
_cell_length_b 5.5787
_cell_length_c 11.9319
_cell_angle_alpha 90.00
_cell_angle_beta 90.00
_cell_angle_gamma 90.00
loop_
_atom_site_label
_atom_site_fract_x
_atom_site_fract_y
_atom_site_fract_z
Ca1 0.0000 0.0000 0.0000
Tb1 0.0000 0.0000 0.3345
S1 0.0000 0.5000 0.0000
S2 0.0000 0.5000 0.3329
# Total magnetization in μB per atom: 0.000
# Fermi-level density of states in states/eV/cell: 3.91
# Calculated density in g cm⁻³: 5.76
# ΔE_f (raw) in eV per atom: -2.043

***

Entry 3:
# CoSi2Ag GGA-PBE relaxed
data_CoSi2Ag
_chemical_formula_sum 'Co2 Si4 Ag2'
_space_group_name_H-M_alt 'C 1 2/m 1'
_space_group_IT_number 12
_cell_length_a 5.4330
_cell_length_b 8.2929
_cell_length_c 2.8919
_cell_angle_alpha 90.00
_cell_angle_beta 118.52
_cell_angle_gamma 90.00
loop_
_space_group_symop_operation_xyz
'x,y,z'
'-x,-y,-z'
'-x,y,-z'
'x,-y,z'
'x+1/2,y+1/2,z'
'-x+1/2,-y+1/2,-z'
'-x+1/2,y+1/2,-z'
'x+1/2,-y+1/2,z'
loop_
_atom_site_label
_atom_site_fract_x
_atom_site_fract_y
_atom_site_fract_z
Co1 0.0000 0.0000 0.0000
Si1 0.2500 0.2500 0.0000
Ag1 0.0000 0.5000 0.0000
# Total magnetization in μB per atom: 0.080
# Fermi-level density of states in states/eV/cell: 5.31
# Calculated density in g cm⁻³: 6.47
# ΔE_f (raw) in eV per atom: 0.348
# Energy above the most stable polymorph in this dataset in eV per formula unit: 1.56

***

Entry 4:
# Pr3YGe2 GGA-PBE relaxed
data_Pr3YGe2
_chemical_formula_sum 'Pr6 Y2 Ge4'
_space_group_name_H-M_alt 'I m m m'
_space_group_IT_number 71
_space_group_name_Hall '-I 2 2'
_cell_length_a 4.4885
_cell_length_b 4.6086
_cell_length_c 16.6278
_cell_angle_alpha 90.00
_cell_angle_beta 90.00
_cell_angle_gamma 90.00
loop_
_atom_site_label
_atom_site_fract_x
_atom_site_fract_y
_atom_site_fract_z
Pr1 0.0000 0.0000 0.0000
Pr2 0.0000 0.5000 0.3188
Y1 0.0000 0.0000 0.5000
Ge1 0.0000 0.5000 0.1325
# Total magnetization in μB per atom: 0.047
# Energy relative to the elements in eV/f.u.: -3.61
# Fermi-level density of states in states/eV/cell: 12.32
# Calculated density in g cm⁻³: 6.34

***

Entry 5:
# Ge2TePtSe GGA-PBE relaxed
data_Ge2TePtSe
_chemical_formula_sum 'Ge2 Te1 Pt1 Se1'
_space_group_name_H-M_alt 'P 4 m m'
_space_group_IT_number 99
_cell_length_a 4.7946
_cell_length_b 4.7946
_cell_length_c 5.6960
_cell_angle_alpha 90.00
_cell_angle_beta 90.00
_cell_angle_gamma 90.00
loop_
_space_group_symop_operation_xyz
'x,y,z'
'-y,x,z'
'-x,-y,z'
'y,-x,z'
'-x,y,z'
'y,x,z'
'x,-y,z'
'-y,-x,z'
loop_
_atom_site_label
_atom_site_fract_x
_atom_site_fract_y
_atom_site_fract_z
Ge1 0.0000 0.5000 0.0000
Te1 0.0000 0.0000 0.6055
Pt1 0.0000 0.0000 0.1572
Se1 0.5000 0.5000 0.7915
# Total magnetization in μB per atom: 0.000
# Fermi-level density of states in states/eV/cell: 3.19
# Calculated density in g cm⁻³: 6.94
# ΔE_f (raw) in eV per atom: -0.041

***

Entry 6:
# ReHg2Rh GGA-PBE relaxed
data_ReHg2Rh
_chemical_formula_sum 'Re3 Hg6 Rh3'
_space_group_name_H-M_alt 'R -3 m'
_space_group_IT_number 166
_space_group_name_Hall '-R 3 2"'
_cell_length_a 2.9507
_cell_length_b 2.9507
_cell_length_c 27.7561
_cell_angle_alpha 90.00
_cell_angle_beta 90.00
_cell_angle_gamma 120.00
loop_
_atom_site_label
_atom_site_fract_x
_atom_site_fract_y
_atom_site_fract_z
Re1 0.0000 0.0000 0.0000
Hg1 0.0000 0.0000 0.2480
Rh1 0.0000 0.0000 0.5000
# Total magnetization in μB per atom: 0.021
# Energy relative to the elements in eV/f.u.: 2.46
# Fermi-level density of states in states/eV/cell: 16.31
# Calculated density in g cm⁻³: 16.43
# Energy above the most stable polymorph in this dataset in eV per formula unit: 1.37

***

Entry 7:
# Tb3Nd2Hg4 GGA-PBE relaxed
data_Tb3Nd2Hg4
_chemical_formula_sum 'Tb12 Nd8 Hg16'
_space_group_name_H-M_alt 'C m c e'
_space_group_IT_number 64
_space_group_name_Hall '-C 2ac 2'
_cell_length_a 7.0322
_cell_length_b 17.9610
_cell_length_c 8.2368
_cell_angle_alpha 90.00
_cell_angle_beta 90.00
_cell_angle_gamma 90.00
loop_
_atom_site_label
_atom_site_fract_x
_atom_site_fract_y
_atom_site_fract_z
Tb1 0.0000 0.0000 0.0000
Tb2 0.2500 0.2390 0.2500
Nd1 0.0000 0.0952 0.5888
Hg1 0.0000 0.1680 0.9715
Hg2 0.2500 0.0657 0.2500
# Total magnetization in μB per atom: 0.000
# Energy relative to the elements in eV/f.u.: -3.12
# Fermi-level density of states in states/eV/cell: 35.27
# Calculated density in g cm⁻³: 10.01

***

Entry 8:
# ZrScAgSe4 GGA-PBE relaxed
data_ZrScAgSe4
_chemical_formula_sum 'Zr4 Sc4 Ag4 Se16'
_space_group_name_H-M_alt 'I m m a'
_space_group_IT_number 74
_space_group_name_Hall '-I 2b 2'
_cell_length_a 7.9546
_cell_length_b 8.0207
_cell_length_c 11.2935
_cell_angle_alpha 90.00
_cell_angle_beta 90.00
_cell_angle_gamma 90.00
loop_
_atom_site_label
_atom_site_fract_x
_atom_site_fract_y
_atom_site_fract_z
Zr1 0.2500 0.2500 0.2500
Sc1 0.0000 0.0000 0.0000
Ag1 0.0000 0.2500 0.6210
Se1 0.0000 0.0173 0.2430
Se2 0.2307 0.2500 0.0110
# Total magnetization in μB per atom: 0.000
# Fermi-level density of states in states/eV/cell: 0.33
# Calculated density in g cm⁻³: 5.16
# ΔE_f (raw) in eV per atom: -1.202

***

Entry 9:
# YAsOs2 GGA-PBE relaxed
data_YAsOs2
_chemical_formula_sum 'Y1 As1 Os2'
_space_group_name_H-M_alt 'P 1 2/m 1'
_space_group_IT_number 10
_cell_length_a 3.2022
_cell_length_b 4.6989
_cell_length_c 4.8532
_cell_angle_alpha 90.00
_cell_angle_beta 91.27
_cell_angle_gamma 90.00
loop_
_space_group_symop_operation_xyz
'x,y,z'
'-x,-y,-z'
'-x,y,-z'
'x,-y,z'
loop_
_atom_site_label
_atom_site_fract_x
_atom_site_fract_y
_atom_site_fract_z
Y1 0.0000 0.0000 0.0000
As1 0.5000 0.0000 0.5000
Os1 0.3842 0.5000 0.7481
# Total magnetization in μB per atom: 0.000
# Energy relative to the elements in eV/f.u.: 0.72
# Fermi-level density of states in states/eV/cell: 2.65
# Calculated density in g cm⁻³: 12.38

***

Entry 10:
# Ba3Pd8Au GGA-PBE relaxed
data_Ba3Pd8Au
_chemical_formula_sum 'Ba9 Pd24 Au3'
_space_group_name_H-M_alt 'R 3 m'
_space_group_IT_number 160
_space_group_name_Hall 'R 3 -2"'
_cell_length_a 5.6732
_cell_length_b 5.6732
_cell_length_c 27.4978
_cell_angle_alpha 90.00
_cell_angle_beta 90.00
_cell_angle_gamma 120.00
loop_
_atom_site_label
_atom_site_fract_x
_atom_site_fract_y
_atom_site_fract_z
Ba1 0.0000 0.0000 0.0000
Ba2 0.0000 0.0000 0.1291
Ba3 0.0000 0.0000 0.6134
Pd1 0.0000 0.0000 0.3117
Pd2 0.0000 0.0000 0.8128
Pd3 0.0001 0.5001 0.0637
Pd4 0.1671 0.3341 0.8936
Au1 0.0000 0.0000 0.4867
# Total magnetization in μB per atom: 0.000
# Energy relative to the elements in eV/f.u.: -4.98
# Fermi-level density of states in states/eV/cell: 24.65
# Calculated density in g cm⁻³: 9.49

***

Entry 11:
# RbSrCuO2 GGA-PBE relaxed
data_RbSrCuO2
_chemical_formula_sum 'Rb1 Sr1 Cu1 O2'
_space_group_name_H-M_alt 'P 4/m m m'
_space_group_IT_number 123
_space_group_name_Hall '-P 4 2'
_cell_length_a 4.5891
_cell_length_b 4.5891
_cell_length_c 6.3187
_cell_angle_alpha 90.00
_cell_angle_beta 90.00
_cell_angle_gamma 90.00
loop_
_atom_site_label
_atom_site_fract_x
_atom_site_fract_y
_atom_site_fract_z
Rb1 0.0000 0.0000 0.0000
Sr1 0.0000 0.0000 0.5000
Cu1 0.5000 0.5000 0.5000
O1 0.0000 0.5000 0.0000
# Total magnetization in μB per atom: 0.000
# Fermi-level density of states in states/eV/cell: 6.26
# Calculated density in g cm⁻³: 3.35
# ΔE_f (raw) in eV per atom: 0.632
# Energy above the most stable polymorph in this dataset in eV per formula unit: 10.96

***

Entry 12:
# ErTm3Tc GGA-PBE relaxed
data_ErTm3Tc
_chemical_formula_sum 'Er4 Tm12 Tc4'
_space_group_name_H-M_alt 'C 1 2/m 1'
_space_group_IT_number 12
_cell_length_a 11.5222
_cell_length_b 8.5413
_cell_length_c 7.7338
_cell_angle_alpha 90.00
_cell_angle_beta 132.09
_cell_angle_gamma 90.00
loop_
_space_group_symop_operation_xyz
'x,y,z'
'-x,-y,-z'
'-x,y,-z'
'x,-y,z'
'x+1/2,y+1/2,z'
'-x+1/2,-y+1/2,-z'
'-x+1/2,y+1/2,-z'
'x+1/2,-y+1/2,z'
loop_
_atom_site_label
_atom_site_fract_x
_atom_site_fract_y
_atom_site_fract_z
Er1 0.0540 0.0000 0.3473
Tm1 0.0543 0.5000 0.2591
Tm2 0.2505 0.1959 0.2055
Tc1 0.2501 0.0000 0.8756
# Total magnetization in μB per atom: 0.000
# Energy relative to the elements in eV/f.u.: -0.20
# Fermi-level density of states in states/eV/cell: 19.05
# Calculated density in g cm⁻³: 9.08
# Energy above the most stable polymorph in this dataset in eV per formula unit: 0.00

***

Entry 13:
# BaSc4Be GGA-PBE relaxed
data_BaSc4Be
_chemical_formula_sum 'Ba4 Sc16 Be4'
_space_group_name_H-M_alt 'F -4 3 m'
_space_group_IT_number 216
_space_group_name_Hall 'F -4 2 3'
_cell_length_a 8.7136
_cell_length_b 8.7136
_cell_length_c 8.7136
_cell_angle_alpha 90.00
_cell_angle_beta 90.00
_cell_angle_gamma 90.00
loop_
_atom_site_label
_atom_site_fract_x
_atom_site_fract_y
_atom_site_fract_z
Ba1 0.0000 0.0000 0.0000
Sc1 0.1227 0.1227 0.3773
Be1 0.2500 0.2500 0.7500
# Total magnetization in μB per atom: 0.000
# Energy relative to the elements in eV/f.u.: 3.96
# Fermi-level density of states in states/eV/cell: 33.33
# Calculated density in g cm⁻³: 3.27

***

Entry 14:
# Ta3TiW4 GGA-PBE relaxed
data_Ta3TiW4
_chemical_formula_sum 'Ta6 Ti2 W8'
_space_group_name_H-M_alt 'C 1 2/m 1'
_space_group_IT_number 12
_cell_length_a 13.8107
_cell_length_b 4.5467
_cell_length_c 4.5445
_cell_angle_alpha 90.00
_cell_angle_beta 109.15
_cell_angle_gamma 90.00
loop_
_space_group_symop_operation_xyz
'x,y,z'
'-x,-y,-z'
'-x,y,-z'
'x,-y,z'
'x+1/2,y+1/2,z'
'-x+1/2,-y+1/2,-z'
'-x+1/2,y+1/2,-z'
'x+1/2,-y+1/2,z'
loop_
_atom_site_label
_atom_site_fract_x
_atom_site_fract_y
_atom_site_fract_z
Ta1 0.0000 0.0000 0.0000
Ta2 0.1274 0.0000 0.6272
Ti1 0.0000 0.5000 0.5000
W1 0.1289 0.5000 0.1288
W2 0.2489 0.5000 0.7488
# Total magnetization in μB per atom: 0.000
# Energy relative to the elements in eV/f.u.: -0.40
# Fermi-level density of states in states/eV/cell: 17.24
# Calculated density in g cm⁻³: 16.34

***

Entry 15:
# Na2GaSb2 GGA-PBE relaxed
data_Na2GaSb2
_chemical_formula_sum 'Na8 Ga4 Sb8'
_space_group_name_H-M_alt 'C 1 2/m 1'
_space_group_IT_number 12
_cell_length_a 12.5183
_cell_length_b 4.6733
_cell_length_c 10.7874
_cell_angle_alpha 90.00
_cell_angle_beta 117.34
_cell_angle_gamma 90.00
loop_
_space_group_symop_operation_xyz
'x,y,z'
'-x,-y,-z'
'-x,y,-z'
'x,-y,z'
'x+1/2,y+1/2,z'
'-x+1/2,-y+1/2,-z'
'-x+1/2,y+1/2,-z'
'x+1/2,-y+1/2,z'
loop_
_atom_site_label
_atom_site_fract_x
_atom_site_fract_y
_atom_site_fract_z
Na1 0.0094 0.0000 0.1725
Na2 0.1706 0.0000 0.5836
Ga1 0.1921 0.5000 0.8530
Sb1 0.0317 0.5000 0.3848
Sb2 0.1680 0.5000 0.0976
# Total magnetization in μB per atom: 0.000
# Fermi-level density of states in states/eV/cell: 2.34
# Calculated density in g cm⁻³: 4.26
# ΔE_f (raw) in eV per atom: -0.277
# Energy above the most stable polymorph in this dataset in eV per formula unit: 0.00

***

Entry 16:
# BaInPtAu2 GGA-PBE relaxed
data_BaInPtAu2
_chemical_formula_sum 'Ba2 In2 Pt2 Au4'
_space_group_name_H-M_alt 'I m m 2'
_space_group_IT_number 44
_cell_length_a 4.3243
_cell_length_b 4.6072
_cell_length_c 12.4759
_cell_angle_alpha 90.00
_cell_angle_beta 90.00
_cell_angle_gamma 90.00
loop_
_space_group_symop_operation_xyz
'x,y,z'
'-x,-y,z'
'-x,y,z'
'x,-y,z'
'x+1/2,y+1/2,z+1/2'
'-x+1/2,-y+1/2,z+1/2'
'-x+1/2,y+1/2,z+1/2'
'x+1/2,-y+1/2,z+1/2'
loop_
_atom_site_label
_atom_site_fract_x
_atom_site_fract_y
_atom_site_fract_z
Ba1 0.0000 0.0000 0.0000
In1 0.0000 0.5000 0.7579
Pt1 0.0000 0.0000 0.3965
Au1 0.0000 0.0000 0.6136
Au2 0.0000 0.5000 0.2660
# Total magnetization in μB per atom: 0.000
# Energy relative to the elements in eV/f.u.: -2.71
# Fermi-level density of states in states/eV/cell: 5.12
# Calculated density in g cm⁻³: 11.24
# Energy above the most stable polymorph in this dataset in eV per formula unit: 0.00

***

Entry 17:
# Pu4Ge12Pt GGA-PBE relaxed
data_Pu4Ge12Pt
_chemical_formula_sum 'Pu8 Ge24 Pt2'
_space_group_name_H-M_alt 'I m -3 m'
_space_group_IT_number 229
_space_group_name_Hall '-I 4 2 3'
_cell_length_a 8.7115
_cell_length_b 8.7115
_cell_length_c 8.7115
_cell_angle_alpha 90.00
_cell_angle_beta 90.00
_cell_angle_gamma 90.00
loop_
_atom_site_label
_atom_site_fract_x
_atom_site_fract_y
_atom_site_fract_z
Pu1 0.2500 0.2500 0.2500
Ge1 0.0000 0.0000 0.2969
Ge2 0.0000 0.2500 0.5000
Pt1 0.0000 0.0000 0.0000
# Total magnetization in μB per atom: 1.302
# Energy relative to the elements in eV/f.u.: -5.97
# Fermi-level density of states in states/eV/cell: 71.22
# Calculated density in g cm⁻³: 10.26

***

Entry 18:
# CuHg2Os GGA-PBE relaxed
data_CuHg2Os
_chemical_formula_sum 'Cu2 Hg4 Os2'
_space_group_name_H-M_alt 'I -4 m 2'
_space_group_IT_number 119
_space_group_name_Hall 'I -4 -2'
_cell_length_a 4.0469
_cell_length_b 4.0469
_cell_length_c 8.4765
_cell_angle_alpha 90.00
_cell_angle_beta 90.00
_cell_angle_gamma 90.00
loop_
_atom_site_label
_atom_site_fract_x
_atom_site_fract_y
_atom_site_fract_z
Cu1 0.0000 0.0000 0.0000
Hg1 0.0000 0.0000 0.5000
Hg2 0.0000 0.5000 0.7500
Os1 0.0000 0.5000 0.2500
# Total magnetization in μB per atom: 0.201
# Energy relative to the elements in eV/f.u.: 3.25
# Fermi-level density of states in states/eV/cell: 5.40
# Calculated density in g cm⁻³: 15.67
# Energy above the most stable polymorph in this dataset in eV per formula unit: 0.86

***

Entry 19:
# K2DyHfS4 GGA-PBE relaxed
data_K2DyHfS4
_chemical_formula_sum 'K2 Dy1 Hf1 S4'
_space_group_name_H-M_alt 'P 1 2/m 1'
_space_group_IT_number 10
_cell_length_a 6.7520
_cell_length_b 3.8669
_cell_length_c 7.7139
_cell_angle_alpha 90.00
_cell_angle_beta 106.68
_cell_angle_gamma 90.00
loop_
_space_group_symop_operation_xyz
'x,y,z'
'-x,-y,-z'
'-x,y,-z'
'x,-y,z'
loop_
_atom_site_label
_atom_site_fract_x
_atom_site_fract_y
_atom_site_fract_z
K1 0.0000 0.0000 0.0000
K2 0.5000 0.5000 0.0000
Dy1 0.0000 0.5000 0.5000
Hf1 0.5000 0.0000 0.5000
S1 0.2494 0.0000 0.7026
S2 0.2818 0.5000 0.3029
# Total magnetization in μB per atom: 0.000
# Fermi-level density of states in states/eV/cell: 2.79
# Calculated density in g cm⁻³: 4.71
# ΔE_f (raw) in eV per atom: -1.652

***

Entry 20:
# ScSn3Rh GGA-PBE relaxed
data_ScSn3Rh
_chemical_formula_sum 'Sc1 Sn3 Rh1'
_space_group_name_H-M_alt 'P m -3 m'
_space_group_IT_number 221
_space_group_name_Hall '-P 4 2 3'
_cell_length_a 5.3502
_cell_length_b 5.3502
_cell_length_c 5.3502
_cell_angle_alpha 90.00
_cell_angle_beta 90.00
_cell_angle_gamma 90.00
loop_
_atom_site_label
_atom_site_fract_x
_atom_site_fract_y
_atom_site_fract_z
Sc1 0.0000 0.0000 0.0000
Sn1 0.0000 0.0000 0.5000
Rh1 0.5000 0.5000 0.5000
# Total magnetization in μB per atom: 0.190
# Energy relative to the elements in eV/f.u.: 4.46
# Fermi-level density of states in states/eV/cell: 7.18
# Calculated density in g cm⁻³: 5.46
# Energy above the most stable polymorph in this dataset in eV per formula unit: 4.06